A relaxed structure of Dy2Ho4Er5. Source: the Alexandria database, functional PBE.

Calculated values
**Formation energy**: 6 kJ per mole of atoms
**VASP energy**: -4.51 eV/atom
**Distance to the lowest polymorph of the same formula**: 0.0 meV per atom

Cell: 3.6149 9.7845 12.5134 Å, 123.75 81.72 111.70°
Element x y z (fractional)
Ho  0.6749  0.6478  0.9455
Er  0.5777  0.8272  0.4984
Dy  0.1075  0.7221  0.2288
Ho  0.3251  0.3522  0.0545
Er  0.4223  0.1728  0.5016
Er  0.0784  0.9605  0.7638
Ho  0.2465  0.5753  0.6579
Ho  0.7535  0.4247  0.3421
Er  0.9216  0.0395  0.2362
Dy  0.8925  0.2779  0.7712
Er  0.5000  0.0000  0.0000

A relaxed structure of Dy4HoEr6. Source: the Alexandria database, functional PBE.

Calculated values
**Formation energy**: 12 kJ per mole of atoms
**VASP energy**: -4.45 eV/atom
**Distance to the lowest polymorph of the same formula**: 0.0 meV per atom

Cell: 5.5991 5.5420 25.4189 Å, 90.00 90.00 120.34°
Element x y z (fractional)
Er  0.8457  0.6914  0.8181
Ho  0.8224  0.6448  0.2500
Er  0.8212  0.6424  0.3953
Er  0.1543  0.3086  0.1819
Er  0.5000  0.0000  0.5000
Dy  0.8381  0.6761  0.9576
Er  0.1788  0.3576  0.8953
Dy  0.4852  0.9704  0.3786
Dy  0.1619  0.3239  0.4576
Dy  0.1619  0.3239  0.0424
Er  0.8457  0.6914  0.6819
Er  0.1543  0.3086  0.3181
Er  0.1788  0.3576  0.6047
Dy  0.4852  0.9704  0.1214
Er  0.4885  0.9771  0.2500
Ho  0.1776  0.3552  0.7500
Er  0.8212  0.6424  0.1047
Er  0.5000  0.0000  0.0000
Dy  0.5148  0.0296  0.8786
Dy  0.8381  0.6761  0.5424
Er  0.5115  0.0229  0.7500
Dy  0.5148  0.0296  0.6214

A relaxed structure of Dy8Ho4Er3. Source: the Alexandria database, functional PBE.

Calculated values
**Formation energy**: 39 kJ per mole of atoms
**VASP energy**: -4.18 eV/atom
**Distance to the lowest polymorph of the same formula**: 257.5 meV per atom

Cell: 6.6841 9.1843 9.1843 Å, 87.59 111.36 111.36°
Element x y z (fractional)
Dy  0.4732  0.7331  0.7331
Ho  0.0000  0.5000  0.0000
Er  0.5000  0.5000  0.0000
Dy  0.5000  0.2518  0.7482
Ho  0.0000  0.0000  0.5000
Er  0.5000  0.0000  0.5000
Ho  0.0000  0.0000  0.0000
Dy  0.5000  0.7482  0.2518
Dy  0.0052  0.2676  0.2676
Dy  0.0000  0.6418  0.3582
Dy  0.9948  0.7324  0.7324
Dy  0.5268  0.2669  0.2669
Er  0.5000  0.5000  0.5000
Ho  0.5000  0.0000  0.0000
Dy  0.0000  0.3582  0.6418

A relaxed structure of DyHo4Er7. Source: the Alexandria database, functional PBE.

Calculated values
**Formation energy**: 9 kJ per mole of atoms
**VASP energy**: -4.48 eV/atom

Cell: 6.7117 6.4263 11.5738 Å, 74.88 50.30 81.75°
Element x y z (fractional)
Er  0.7189  0.1903  0.3879
Er  0.2811  0.8097  0.6121
Ho  0.4784  0.3608  0.7145
Ho  0.5216  0.6392  0.2855
Ho  0.3060  0.1615  0.3104
Er  0.1984  0.4847  0.0511
Er  0.5000  0.0000  0.0000
Er  0.9403  0.6845  0.3584
Ho  0.6940  0.8385  0.6896
Er  0.8016  0.5153  0.9489
Er  0.0597  0.3155  0.6416
Dy  0.0000  0.0000  0.0000

A relaxed structure of Dy12Ho6Er. Source: the Alexandria database, functional PBE.

Calculated values
**Formation energy**: 15 kJ per mole of atoms
**VASP energy**: -4.44 eV/atom
**Distance to the lowest polymorph of the same formula**: 0.0 meV per atom

Cell: 8.4652 8.4652 8.4652 Å, 88.40 88.40 88.40°
Element x y z (fractional)
Dy  0.6427  0.9882  0.7965
Dy  0.0118  0.2035  0.3573
Dy  0.4580  0.5648  0.2245
Ho  0.7422  0.9065  0.3072
Ho  0.9065  0.3072  0.7422
Dy  0.2245  0.4580  0.5648
Dy  0.9882  0.7965  0.6427
Ho  0.2578  0.0935  0.6928
Dy  0.4352  0.7755  0.5420
Er  0.0000  0.0000  0.0000
Dy  0.7965  0.6427  0.9882
Ho  0.3072  0.7422  0.9065
Ho  0.0935  0.6928  0.2578
Dy  0.5420  0.4352  0.7755
Dy  0.5648  0.2245  0.4580
Dy  0.7755  0.5420  0.4352
Dy  0.2035  0.3573  0.0118
Ho  0.6928  0.2578  0.0935
Dy  0.3573  0.0118  0.2035

A relaxed structure of Dy2Ho8Er3. Source: the Alexandria database, functional PBE.

Calculated values
**Formation energy**: 23 kJ per mole of atoms
**VASP energy**: -4.34 eV/atom

Cell: 5.5368 7.5259 10.7559 Å, 110.50 90.01 90.00°
Element x y z (fractional)
Er  0.5000  0.0000  0.0000
Ho  0.5002  0.3958  0.2157
Er  0.0000  0.7159  0.9999
Ho  0.9996  0.3337  0.6676
Ho  0.0001  0.8677  0.7353
Dy  0.4995  0.2414  0.4827
Ho  0.4998  0.6042  0.7843
Ho  0.9999  0.1323  0.2647
Ho  0.5002  0.8202  0.2158
Er  0.0000  0.2841  0.0001
Dy  0.5005  0.7586  0.5173
Ho  0.0004  0.6663  0.3324
Ho  0.4998  0.1798  0.7842

A relaxed structure of DyHo4Er2. Source: the Alexandria database, functional PBE.

Calculated values
**Formation energy**: 14 kJ per mole of atoms
**VASP energy**: -4.44 eV/atom
**Distance to the lowest polymorph of the same formula**: 103.6 meV per atom

Cell: 6.0374 6.4904 11.4675 Å, 90.00 105.77 90.00°
Element x y z (fractional)
Ho  0.3610  0.5036  0.7112
Ho  0.9996  0.7500  0.8437
Er  0.6068  0.7500  0.0033
Ho  0.3610  0.9964  0.7112
Ho  0.8574  0.2500  0.5705
Ho  0.0004  0.2500  0.1563
Ho  0.6390  0.4964  0.2888
Er  0.3932  0.2500  0.9967
Ho  0.1426  0.7500  0.4295
Ho  0.6390  0.0036  0.2888
Er  0.2920  0.2500  0.4416
Dy  0.1675  0.7500  0.1445
Er  0.7080  0.7500  0.5584
Dy  0.8325  0.2500  0.8555

A relaxed structure of DyHo6Er4. Source: the Alexandria database, functional PBE.

Calculated values
**Formation energy**: 12 kJ per mole of atoms
**VASP energy**: -4.45 eV/atom
**Distance to the lowest polymorph of the same formula**: 0.0 meV per atom

Cell: 5.6099 5.5396 25.4049 Å, 90.00 90.00 120.42°
Element x y z (fractional)
Er  0.8396  0.6792  0.9577
Er  0.8396  0.6792  0.5423
Ho  0.5000  0.0000  0.5000
Er  0.1604  0.3208  0.0423
Ho  0.1501  0.3002  0.1815
Ho  0.8176  0.6351  0.1037
Ho  0.1501  0.3002  0.3185
Ho  0.5157  0.0314  0.7500
Ho  0.5000  0.0000  0.0000
Ho  0.8499  0.6998  0.6815
Dy  0.8185  0.6369  0.2500
Ho  0.1824  0.3649  0.8963
Ho  0.4843  0.9686  0.2500
Ho  0.8176  0.6351  0.3963
Ho  0.8499  0.6998  0.8185
Er  0.5191  0.0381  0.6214
Dy  0.1815  0.3631  0.7500
Er  0.4809  0.9619  0.1214
Er  0.4809  0.9619  0.3786
Er  0.5191  0.0381  0.8786
Ho  0.1824  0.3649  0.6037
Er  0.1604  0.3208  0.4577